No. 1
Compound: TlIn3Pt12
Source: Alexandria
Functional: GGA-PBE
Structure: relaxed

For the formation energy, the calculation gives -0.29 eV per atom. As for the energy: -5.48 eV/atom. The density of states at the Fermi level is 0.980 states/eV/atom.

It has space group P4/mmm (No. 123), with a = 4.064 Å, b = 4.064 Å, c = 16.221 Å, α = 90.00°, β = 90.00° and γ = 90.00°. The inequivalent atoms are Tl at (0.000, 0.000, 0.000), In at (0.000, 0.000, 0.251), In at (0.000, 0.000, 0.500), Pt at (0.000, 0.500, 0.129), Pt at (0.000, 0.500, 0.376), Pt at (0.500, 0.500, 0.000), Pt at (0.500, 0.500, 0.252) and Pt at (0.500, 0.500, 0.500).

---

No. 2
Compound: SrTc2Mo
Source: Alexandria
Functional: GGA-PBE
Structure: relaxed

For the formation energy, the calculation gives 0.64 eV per atom. As for the energy: -7.68 eV/atom. The density of states at the Fermi level is 0.775 states/eV/atom.

It has space group Cm (No. 8), with a = 9.736 Å, b = 3.202 Å, c = 5.747 Å, α = 90.00°, β = 105.20° and γ = 90.00°. The inequivalent atoms are Sr at (0.000, 0.000, 0.000), Tc at (0.003, 0.500, 0.509), Tc at (0.216, 0.000, 0.637) and Mo at (0.296, 0.500, 0.372).

---

No. 3
Compound: SmScGa2Cu2
Source: Alexandria
Functional: GGA-PBE
Structure: relaxed

For the formation energy, the calculation gives -0.51 eV per atom. As for the energy: -4.72 eV/atom. The density of states at the Fermi level is 0.757 states/eV/atom.

It has space group P-3m1 (No. 164), with a = 4.3085 Å, b = 4.3085 Å, c = 6.9704 Å, α = 90.00°, β = 90.00° and γ = 120.00°. The inequivalent atoms are Sm at (0.0000, 0.0000, 0.0000), Sc at (0.0000, 0.0000, 0.5000), Ga at (0.3333, 0.6667, 0.2871) and Cu at (0.3333, 0.6667, 0.7001).

---

- Number 2 is which compound?
  SrTc2Mo